No. 1
## MgIn2P (PBE)

Data for a relaxed MgIn2P crystal.

The theoretical density is 4.839 Mg/m³. As for the total magnetization: 0.0 μB per cell. The calculation puts the formation energy at -115.5 meV/atom. The calculation puts the energy above the most stable polymorph in this dataset at 0.000 eV per atom.

It has space group R3m (No. 160, hexagonal axes), with a = 3.8593 Å, b = 3.8593 Å, c = 22.7392 Å, α = 90.00°, β = 90.00° and γ = 120.00°. The distinct sites, in fractional coordinates, are Mg at (0.0000, 0.0000, 0.0000), In at (0.0000, 0.0000, 0.2296), In at (0.0000, 0.0000, 0.4578) and P at (0.0000, 0.0000, 0.7243).



No. 2
## MgFeReBr2 (PBE)

Data for a relaxed MgFeReBr2 crystal.

The theoretical density is 5.842 Mg/m³. As for the total magnetization: 1.5 μB per cell. Its formation energy (no corrections) is 0.941 eV per atom.

It has space group P4/mmm (No. 123), with a = 5.1159 Å, b = 5.1159 Å, c = 4.6282 Å, α = 90.00°, β = 90.00° and γ = 90.00°. The distinct sites, in fractional coordinates, are Mg at (0.0000, 0.0000, 0.0000), Fe at (0.5000, 0.5000, 0.0000), Re at (0.5000, 0.5000, 0.5000) and Br at (0.0000, 0.5000, 0.5000).



No. 3
## Pm3Au (PBE)

Data for a relaxed Pm3Au crystal.

The theoretical density is 8.823 Mg/m³. As for the total magnetization: 0.0 μB per cell. The calculation puts the formation energy at -352.4 meV/atom. The calculation puts the energy above the most stable polymorph in this dataset at 0.053 eV per atom.

It has space group Imm2 (No. 44), with a = 3.8336 Å, b = 11.3746 Å, c = 5.4553 Å, α = 90.00°, β = 90.00° and γ = 90.00°. The distinct sites, in fractional coordinates, are Pm at (0.0000, 0.0000, 0.0000), Pm at (0.0000, 0.2134, 0.4995) and Au at (0.0000, 0.5000, 0.0019).



No. 4
## LiAc5Ni2 (PBE)

Data for a relaxed LiAc5Ni2 crystal.

The theoretical density is 8.043 Mg/m³. As for the total magnetization: 0.0 μB per cell. The calculation puts the formation energy at -76.6 meV/atom.

It has space group I4/mcm (No. 140), with a = 8.3298 Å, b = 8.3298 Å, c = 14.9876 Å, α = 90.00°, β = 90.00° and γ = 90.00°. The distinct sites, in fractional coordinates, are Li at (0.0000, 0.0000, 0.2500), Ac at (0.0000, 0.0000, 0.0000), Ac at (0.1594, 0.3406, 0.1321) and Ni at (0.1268, 0.3732, 0.5000).



No. 5
## LaMgO2 (PBE)

Data for a relaxed LaMgO2 crystal.

The theoretical density is 4.691 Mg/m³. As for the total magnetization: 2.3 μB per cell. Its formation energy (no corrections) is -2.410 eV per atom.

It has space group I-42d (No. 122), with a = 5.1590 Å, b = 5.1590 Å, c = 10.3851 Å, α = 90.00°, β = 90.00° and γ = 90.00°. The distinct sites, in fractional coordinates, are La at (0.0000, 0.0000, 0.0000), Mg at (0.0000, 0.0000, 0.5000) and O at (0.2002, 0.2500, 0.6250).



No. 6
## Na9Mg4Tl11 (PBE)

Data for a relaxed Na9Mg4Tl11 crystal.

The theoretical density is 6.435 Mg/m³. As for the total magnetization: 0.0 μB per cell. The calculation puts the formation energy at -93.9 meV/atom.

It has space group Cmmm (No. 65), with a = 15.9344 Å, b = 23.9187 Å, c = 3.4564 Å, α = 90.00°, β = 90.00° and γ = 90.00°. The distinct sites, in fractional coordinates, are Na at (0.0000, 0.0000, 0.0000), Na at (0.1070, 0.2380, 0.0000), Na at (0.1354, 0.4249, 0.0000), Mg at (0.1539, 0.1004, 0.0000), Tl at (0.0000, 0.1353, 0.5000), Tl at (0.0000, 0.3403, 0.5000), Tl at (0.0000, 0.5000, 0.5000), Tl at (0.2125, 0.0000, 0.5000) and Tl at (0.2281, 0.3221, 0.5000).